An optimized crystal structure of Mg2ReOs. Source: Alexandria via LeMat-Bulk, functional PBE.

Lattice parameters (Å, degrees): 4.4334 4.4334 4.4334 120.09 120.09 89.85
Last column: nearest neighbours and their distance in Å.
Atoms (fractional coordinates):
Mg1 0.0000 0.0000 0.0000  4 Mg 2.71, 4 Os 2.71
Mg2 0.7500 0.2500 0.5000  4 Re 2.71, 4 Mg 2.71
Re1 0.5000 0.5000 0.0000  4 Mg 2.71, 4 Os 2.71
Os1 0.2500 0.7500 0.5000  4 Re 2.71, 4 Mg 2.71

Output
total magnetization = 0.0 μB/cell
space group = I-4m2 (119)
energy = -6.57 eV/atom
mass density = 11.5 Mg/m³
V = 15.38 A^3/atom
crystal system = tetragonal
energy above the lowest structure with this stoichiometry = 87 meV per atom

---

An optimized crystal structure of Mg2ReOs. Source: Alexandria via LeMat-Bulk, functional PBE.

Lattice parameters (Å, degrees): 5.3845 5.3845 5.3845 146.70 128.99 62.29
Last column: nearest neighbours and their distance in Å.
Atoms (fractional coordinates):
Mg1 0.0000 0.0000 0.0000  4 Os 2.80, 2 Re 2.84, 6 Mg 3.00-3.09
Mg2 0.7206 0.2206 0.5000  2 Os 2.77, 4 Re 2.81, 6 Mg 3.00-3.09
Re1 0.2592 0.7592 0.5000  2 Os 2.48
Os1 0.4705 0.4705 0.0000  2 Re 2.48, 2 Mg 2.77

Output
total magnetization = 0.0 μB/cell
space group = Imm2 (44)
energy = -6.40 eV/atom
mass density = 10.7 Mg/m³
V = 16.48 A^3/atom
crystal system = orthorhombic
energy above the lowest structure with this stoichiometry = 263 meV per atom

---

An optimized crystal structure of MgRe4Os. Source: Alexandria via LeMat-Bulk, functional PBE.

Lattice parameters (Å, degrees): 5.1618 5.1618 5.1618 60.00 60.00 60.00
Last column: nearest neighbours and their distance in Å.
Atoms (fractional coordinates):
Mg1 0.0000 0.0000 0.0000  12 Re 3.02, 4 Os 3.16
Re1 0.3739 0.3739 0.3739  6 Re 2.56-2.60
Re2 0.3739 0.3739 0.8782  6 Re 2.56-2.60
Re3 0.3739 0.8782 0.3739  6 Re 2.56-2.60
Re4 0.8782 0.3739 0.3739  6 Re 2.56-2.60
Os1 0.7500 0.7500 0.7500  12 Re 3.03, 4 Mg 3.16

Output
total magnetization = 0.0 μB/cell
space group = F-43m (216)
energy = -10.00 eV/atom
mass density = 16.4 Mg/m³
V = 16.21 A^3/atom
crystal system = cubic

---

An optimized crystal structure of Mg2ReOs. Source: Alexandria via LeMat-Bulk, functional PBE.

Lattice parameters (Å, degrees): 2.7088 4.5483 5.1953 90.00 101.33 90.00
Last column: nearest neighbours and their distance in Å.
Atoms (fractional coordinates):
Mg1 0.2358 0.0000 0.2511  4 Mg 2.67-2.71, 2 Os 2.75, 2 Re 2.78
Mg2 0.7642 0.0000 0.7489  4 Mg 2.67-2.71, 2 Os 2.75, 2 Re 2.78
Re1 0.5000 0.5000 0.0000  2 Os 2.68, 2 Re 2.71, 4 Mg 2.78
Os1 0.0000 0.5000 0.5000  2 Re 2.68, 2 Os 2.71, 4 Mg 2.75

Output
total magnetization = 0.0 μB/cell
space group = P2/m (10)
energy = -6.43 eV/atom
mass density = 11.2 Mg/m³
V = 15.69 A^3/atom
crystal system = monoclinic
energy above the lowest structure with this stoichiometry = 228 meV per atom

---

An optimized crystal structure of MgRe3Os. Source: Alexandria via LeMat-Bulk, functional PBE.

Lattice parameters (Å, degrees): 4.3736 4.3736 4.3736 90.00 90.00 90.00
Last column: nearest neighbours and their distance in Å.
Atoms (fractional coordinates):
Mg1 0.0000 0.0000 0.0000  6 Re 2.19
Re1 0.0000 0.0000 0.5000  2 Mg 2.19
Re2 0.0000 0.5000 0.0000  2 Mg 2.19
Re3 0.5000 0.0000 0.0000  2 Mg 2.19
Os1 0.5000 0.5000 0.5000  12 Re 3.09

Output
total magnetization = 0.0 μB/cell
space group = Pm-3m (221)
energy = -7.48 eV/atom
mass density = 15.3 Mg/m³
V = 16.73 A^3/atom
crystal system = cubic

---

An optimized crystal structure of Mg2ReOs. Source: Alexandria via LeMat-Bulk, functional PBE.

Lattice parameters (Å, degrees): 5.7532 5.7532 5.7532 101.86 101.86 126.08
Last column: nearest neighbours and their distance in Å.
Atoms (fractional coordinates):
Mg1 0.1157 0.6250 0.9907  2 Os 2.60, 2 Mg 2.61, 2 Re 2.69
Mg2 0.3750 0.3657 0.4907  2 Os 2.60, 2 Mg 2.61, 2 Re 2.69
Mg3 0.6343 0.1250 0.0093  2 Os 2.60, 2 Mg 2.61, 2 Re 2.69
Mg4 0.8750 0.8843 0.5093  2 Os 2.60, 2 Mg 2.61, 2 Re 2.69
Re1 0.2500 0.7500 0.5000  2 Os 2.61, 4 Mg 2.69
Re2 0.5000 0.5000 0.0000  2 Os 2.61, 4 Mg 2.69
Os1 0.0000 0.0000 0.0000  4 Mg 2.60, 2 Re 2.61
Os2 0.7500 0.2500 0.5000  4 Mg 2.60, 2 Re 2.61

Output
total magnetization = 0.0 μB/cell
space group = I-42d (122)
energy = -5.70 eV/atom
mass density = 10.3 Mg/m³
V = 17.15 A^3/atom
crystal system = tetragonal
energy above the lowest structure with this stoichiometry = 963 meV per atom

---

An optimized crystal structure of Mg2ReOs. Source: Alexandria via LeMat-Bulk, functional PBE.

Lattice parameters (Å, degrees): 3.7919 3.7919 4.4123 90.00 90.00 90.00
Last column: nearest neighbours and their distance in Å.
Atoms (fractional coordinates):
Mg1 0.0000 0.5000 0.0000  4 Mg 2.68, 4 Re 2.91, 4 Os 2.91
Mg2 0.5000 0.0000 0.0000  4 Mg 2.68, 4 Re 2.91, 4 Os 2.91
Re1 0.0000 0.0000 0.5000  4 Os 2.68, 8 Mg 2.91
Os1 0.5000 0.5000 0.5000  4 Re 2.68, 8 Mg 2.91

Output
total magnetization = 0.0 μB/cell
space group = P4/mmm (123)
energy = -6.36 eV/atom
mass density = 11.1 Mg/m³
V = 15.86 A^3/atom
crystal system = tetragonal
energy above the lowest structure with this stoichiometry = 301 meV per atom

---

An optimized crystal structure of Mg2ReOs. Source: Alexandria via LeMat-Bulk, functional PBE.

Lattice parameters (Å, degrees): 5.3060 5.3060 5.3060 145.81 130.87 61.21
Last column: nearest neighbours and their distance in Å.
Atoms (fractional coordinates):
Mg1 0.2452 0.2452 0.0000  4 Mg 2.70, 2 Os 2.73, 2 Re 2.80
Mg2 0.7548 0.7548 0.0000  4 Mg 2.70, 2 Os 2.73, 2 Re 2.80
Re1 0.5000 0.0000 0.5000  4 Os 2.70, 4 Mg 2.80
Os1 0.0000 0.5000 0.5000  4 Re 2.70, 4 Mg 2.73

Output
total magnetization = 0.0 μB/cell
space group = Immm (71)
energy = -6.42 eV/atom
mass density = 11.2 Mg/m³
V = 15.71 A^3/atom
crystal system = orthorhombic
energy above the lowest structure with this stoichiometry = 235 meV per atom

---

An optimized crystal structure of Mg3ReOs. Source: Alexandria via LeMat-Bulk, functional PBE.

Lattice parameters (Å, degrees): 4.9192 4.9192 4.9192 90.00 90.00 90.00
Last column: nearest neighbours and their distance in Å.
Atoms (fractional coordinates):
Mg1 0.0000 0.0000 0.5000  2 Re 2.46
Mg2 0.0000 0.5000 0.0000  2 Re 2.46
Mg3 0.5000 0.0000 0.0000  2 Re 2.46
Re1 0.0000 0.0000 0.0000  6 Mg 2.46
Os1 0.5000 0.5000 0.5000  12 Mg 3.48

Output
total magnetization = 3.3 μB/cell
space group = Pm-3m (221)
energy = -3.77 eV/atom
mass density = 6.3 Mg/m³
V = 23.81 A^3/atom
crystal system = cubic
energy above the lowest structure with this stoichiometry = 395 meV per atom

---

An optimized crystal structure of Mg2ReOs. Source: Alexandria via LeMat-Bulk, functional PBE.

Lattice parameters (Å, degrees): 4.7019 4.7019 5.1129 96.36 96.36 35.21
Last column: nearest neighbours and their distance in Å.
Atoms (fractional coordinates):
Mg1 0.0000 0.0000 0.0000  5 Mg 2.59-2.88, 2 Os 2.81, 1 Re 2.82
Mg2 0.2393 0.2393 0.7624  5 Mg 2.59-2.88, 2 Re 2.82, 3 Os 2.85-2.89
Re1 0.7510 0.7510 0.2895  3 Os 2.60-2.67, 3 Mg 2.82, 2 Re 2.84
Os1 0.4926 0.4926 0.4716  3 Re 2.60-2.67, 5 Mg 2.81-2.89, 2 Os 2.84

Output
total magnetization = 0.0 μB/cell
space group = Cm (8)
energy = -6.45 eV/atom
mass density = 10.9 Mg/m³
V = 16.18 A^3/atom
crystal system = monoclinic
energy above the lowest structure with this stoichiometry = 209 meV per atom

---

An optimized crystal structure of Mg3ReOs. Source: Alexandria via LeMat-Bulk, functional PBE.

Lattice parameters (Å, degrees): 4.8756 4.8756 4.8756 90.00 90.00 90.00
Last column: nearest neighbours and their distance in Å.
Atoms (fractional coordinates):
Mg1 0.0000 0.0000 0.5000  2 Os 2.44
Mg2 0.0000 0.5000 0.0000  2 Os 2.44
Mg3 0.5000 0.0000 0.0000  2 Os 2.44
Re1 0.5000 0.5000 0.5000  12 Mg 3.45
Os1 0.0000 0.0000 0.0000  6 Mg 2.44

Output
total magnetization = 3.8 μB/cell
space group = Pm-3m (221)
energy = -4.16 eV/atom
mass density = 6.4 Mg/m³
V = 23.18 A^3/atom
crystal system = cubic
energy above the lowest structure with this stoichiometry = 0 meV per atom

---

An optimized crystal structure of Mg2ReOs. Source: Alexandria via LeMat-Bulk, functional PBE.

Lattice parameters (Å, degrees): 5.1719 5.1719 5.1719 137.03 137.03 62.40
Last column: nearest neighbours and their distance in Å.
Atoms (fractional coordinates):
Mg1 0.2500 0.7500 0.5000  4 Mg 2.68, 4 Re 2.91, 4 Os 2.91
Mg2 0.7500 0.2500 0.5000  4 Mg 2.68, 4 Re 2.91, 4 Os 2.91
Re1 0.0000 0.0000 0.0000  4 Os 2.68, 8 Mg 2.91
Os1 0.5000 0.5000 0.0000  4 Re 2.68, 8 Mg 2.91

Output
total magnetization = 0.0 μB/cell
space group = I4/mmm (139)
energy = -6.35 eV/atom
mass density = 11.1 Mg/m³
V = 15.88 A^3/atom
crystal system = tetragonal
energy above the lowest structure with this stoichiometry = 307 meV per atom

---

> Number 3 is which compound?

MgRe4Os